# 1
Entry from Alexandria via LeMat-Bulk: a relaxed Ag3GePd crystal (GGA-PBE).

a b c (Å): 5.0219 5.0219 5.0219
angles (deg): 90.00 90.00 90.00
Last column: nearest neighbours and their distance in Å.
Space group Pm-3m (No. 221)
Inequivalent atoms, fractional coordinates:
Ag1 0.0000 0.0000 0.5000 [3 per cell]  2 Pd 2.51
Ge1 0.5000 0.5000 0.5000 [1 per cell]  12 Ag 3.55
Pd1 0.0000 0.0000 0.0000 [1 per cell]  6 Ag 2.51

Electronic total energy, eV per cell: -14.21
Mass density, kg/m3: 6591
ΔE_f, meV per atom: 832

***

# 2
Entry from Alexandria via LeMat-Bulk: a relaxed Rb11CdHg2 crystal (GGA-PBE).

a b c (Å): 13.8215 17.6096 18.7020
angles (deg): 90.00 90.00 90.00
Last column: nearest neighbours and their distance in Å.
Space group Ibam (No. 72)
Inequivalent atoms, fractional coordinates:
Rb1 0.0000 0.0000 0.0000 [4 per cell]  2 Hg 3.67
Rb2 0.1085 0.3060 0.1582 [16 per cell]  1 Hg 3.76, 1 Cd 4.11
Rb3 0.1286 0.2198 0.5000 [8 per cell]  2 Hg 3.67-3.80
Rb4 0.2145 0.4432 0.3703 [16 per cell]  1 Hg 3.79, 1 Cd 3.85
Cd1 0.0000 0.5000 0.2500 [4 per cell]  8 Rb 3.85-4.11
Hg1 0.1408 0.1769 0.0000 [8 per cell]  7 Rb 3.67-3.80

Electronic total energy, eV per cell: -49.38
Mass density, kg/m3: 2121
ΔE_f, meV per atom: -13